1.
# Y5ThSc2 | Alexandria | PBE | relaxed
# total energy	-6.4123	eV/atom
# crystal system	orthorhombic
# excess energy over the best structure of this formula in the dataset	92	meV/atom
# DFT formation energy	1.1	eV/f.u.
# V	994.34	Å³ per cell
data_Y5ThSc2
_chemical_formula_sum 'Y20 Th4 Sc8'
_cell_length_a 5.417
_cell_length_b 11.679
_cell_length_c 15.717
_cell_angle_alpha 90.00
_cell_angle_beta 90.00
_cell_angle_gamma 90.00
_symmetry_space_group_name_H-M 'C m c m'
_symmetry_Int_Tables_number 63
_symmetry_space_group_name_Hall '-C 2c 2'
loop_
_atom_site_label
_atom_site_fract_x
_atom_site_fract_y
_atom_site_fract_z
_atom_site_occupancy
Y1 0.000 0.040 0.250 1
Y2 0.000 0.133 0.545 1
Y3 0.000 0.431 0.596 1
Th1 0.000 0.236 0.750 1
Sc1 0.000 0.280 0.139 1

---

2.
# YTh5Sc | Alexandria | PBE | relaxed
# total energy	-6.8899	eV/atom
# crystal system	monoclinic
# DFT formation energy	1.7	eV/f.u.
# V	902.34	Å³ per cell
data_YTh5Sc
_chemical_formula_sum 'Y4 Th20 Sc4'
_cell_length_a 11.398
_cell_length_b 6.486
_cell_length_c 12.564
_cell_angle_alpha 90.00
_cell_angle_beta 103.72
_cell_angle_gamma 90.00
_symmetry_space_group_name_H-M 'C 1 2/c 1'
_symmetry_Int_Tables_number 15
loop_
_symmetry_equiv_pos_as_xyz
'x,y,z'
'-x,-y,-z'
'-x,y,-z+1/2'
'x,-y,z+1/2'
'x+1/2,y+1/2,z'
'-x+1/2,-y+1/2,-z'
'-x+1/2,y+1/2,-z+1/2'
'x+1/2,-y+1/2,z+1/2'
loop_
_atom_site_label
_atom_site_fract_x
_atom_site_fract_y
_atom_site_fract_z
_atom_site_occupancy
Y1 0.000 0.235 0.250 1
Th1 0.000 0.268 0.750 1
Th2 0.172 0.483 0.050 1
Th3 0.234 0.023 0.681 1
Sc1 0.000 0.000 0.000 1

---

3.
# Y6Th2Sc | Alexandria | PBE | relaxed
# total energy	-6.5809	eV/atom
# crystal system	hexagonal
# excess energy over the best structure of this formula in the dataset	0	meV/atom
# DFT formation energy	0.7	eV/f.u.
# V	285.83	Å³ per cell
data_Y6Th2Sc
_chemical_formula_sum 'Y6 Th2 Sc1'
_cell_length_a 3.5569
_cell_length_b 3.5569
_cell_length_c 26.0875
_cell_angle_alpha 90.00
_cell_angle_beta 90.00
_cell_angle_gamma 120.00
_symmetry_space_group_name_H-M 'P -6 m 2'
_symmetry_Int_Tables_number 187
_symmetry_space_group_name_Hall 'P -6 2'
loop_
_atom_site_label
_atom_site_fract_x
_atom_site_fract_y
_atom_site_fract_z
_atom_site_occupancy
Y1 0.0000 0.0000 0.0641 1
Y2 0.0000 0.0000 0.2867 1
Y3 0.3333 0.6667 0.3978 1
Th1 0.3333 0.6667 0.1733 1
Sc1 0.0000 0.0000 0.5000 1

---

4.
# YTh3Sc6 | Alexandria | PBE | relaxed
# total energy	-6.1969	eV/atom
# crystal system	trigonal
# excess energy over the best structure of this formula in the dataset	320	meV/atom
# DFT formation energy	4.7	eV/f.u.
# V	871.12	Å³ per cell
data_YTh3Sc6
_chemical_formula_sum 'Y3 Th9 Sc18'
_cell_length_a 9.2924
_cell_length_b 9.2924
_cell_length_c 11.6490
_cell_angle_alpha 90.00
_cell_angle_beta 90.00
_cell_angle_gamma 120.00
_symmetry_space_group_name_H-M 'R -3'
_symmetry_Int_Tables_number 148
_symmetry_space_group_name_Hall '-R 3'
loop_
_atom_site_label
_atom_site_fract_x
_atom_site_fract_y
_atom_site_fract_z
_atom_site_occupancy
Y1 0.0000 0.0000 0.0000 1
Th1 0.0000 0.0000 0.2485 1
Th2 0.0000 0.0000 0.5000 1
Sc1 0.9998 0.3346 0.0835 1

---

> Which value of DFT formation energy does entry 1 give?

1.1 eV/f.u.

---

> Among the records above, which one has the highest V?

Y5ThSc2

---

> The highest total energy belongs to which entry?

YTh3Sc6